DFT (PBE+U) results for a relaxed LiCoCSO7 crystal.

**Total magnetization**: 4.00 μB/f.u.
**Uncorrected energy**: -140.036 eV for the cell shown

```
data_LiCoCSO7
_space_group_name_H-M_alt 'P 1 21 1'
_space_group_IT_number 4
_cell_length_a 5.4453
_cell_length_b 6.4270
_cell_length_c 8.5900
_cell_angle_alpha 90.00
_cell_angle_beta 93.37
_cell_angle_gamma 90.00
loop_
_space_group_symop_operation_xyz
'x,y,z'
'-x,y+1/2,-z'
loop_
_atom_site_label
_atom_site_type_symbol
_atom_site_fract_x
_atom_site_fract_y
_atom_site_fract_z
Li1 Li 0.2469 0.0000 0.3232
Co1 Co 0.2090 0.6738 0.8486
C1 C 0.2565 0.6822 0.5642
S1 S 0.2679 0.1618 0.9378
O1 O 0.0416 0.6616 0.6223
O2 O 0.1479 0.1477 0.0906
O3 O 0.1860 0.3472 0.8492
O4 O 0.1964 0.9788 0.8392
O5 O 0.2913 0.7332 0.4275
O6 O 0.4380 0.6513 0.6712
O7 O 0.4607 0.6622 0.0288
```